No. 1
Compound: Li3PmPb2
Source: Alexandria via LeMat-Bulk
Functional: PBE
Structure: optimized geometry

Properties
Raw total energy   -3.36 eV per atom

Cell: 7.6876 7.6876 9.0627 Å, 116.34 116.34 36.05°
Fractional coordinates of all 12 atoms:
Li (0.0524, 0.0524, 0.3830)
Li (0.2772, 0.2772, 0.4600)
Li (0.4042, 0.4042, 0.3205)
Li (0.5958, 0.5958, 0.6795)
Li (0.7228, 0.7228, 0.5400)
Li (0.9476, 0.9476, 0.6170)
Pm (0.1397, 0.1397, 0.0237)
Pm (0.8603, 0.8603, 0.9763)
Pb (0.2094, 0.2094, 0.7254)
Pb (0.4551, 0.4551, 0.8035)
Pb (0.5449, 0.5449, 0.1965)
Pb (0.7906, 0.7906, 0.2746)


No. 2
Compound: LiPmPb
Source: Alexandria via LeMat-Bulk
Functional: PBE
Structure: optimized geometry

Properties
Raw total energy   -3.91 eV per atom

Cell: 4.8907 4.8907 3.7165 Å, 90.00 90.00 120.00°
Fractional coordinates of all 3 atoms:
Li (0.0000, 0.0000, 0.0000)
Pm (0.6667, 0.3333, 0.5000)
Pb (0.3333, 0.6667, 0.0000)


No. 3
Compound: LiPm5Pb3
Source: Alexandria via LeMat-Bulk
Functional: PBE
Structure: optimized geometry

Properties
Raw total energy   -4.54 eV per atom

Cell: 9.6603 9.6603 6.6224 Å, 90.00 90.00 120.00°
Fractional coordinates of all 18 atoms:
Li (0.0000, 0.0000, 0.0000)
Li (0.0000, 0.0000, 0.5000)
Pm (0.0000, 0.3010, 0.2500)
Pm (0.0000, 0.6990, 0.7500)
Pm (0.3010, 0.0000, 0.2500)
Pm (0.3010, 0.3010, 0.7500)
Pm (0.3333, 0.6667, 0.0000)
Pm (0.3333, 0.6667, 0.5000)
Pm (0.6667, 0.3333, 0.0000)
Pm (0.6667, 0.3333, 0.5000)
Pm (0.6990, 0.0000, 0.7500)
Pm (0.6990, 0.6990, 0.2500)
Pb (0.0000, 0.3551, 0.7500)
Pb (0.0000, 0.6449, 0.2500)
Pb (0.3551, 0.0000, 0.7500)
Pb (0.3551, 0.3551, 0.2500)
Pb (0.6449, 0.0000, 0.2500)
Pb (0.6449, 0.6449, 0.7500)


Which formula does entry 3 have?
LiPm5Pb3